Run i
## CsSr2In2 (PBE-GGA)

Data for a geometry-optimized CsSr2In2 structure.

Calculated values
The value obtained for the total magnetization is 0.0 μB per formula unit. The calculation puts the density of states at the Fermi level at 7.247 states/eV per cell.

```
CsSr2In2
1.0
6.214 0.000 0.000
0.000 6.214 0.000
0.000 0.000 11.765
Cs Sr In
2 4 4
Direct
0.000 0.000 0.000
0.500 0.500 0.500
0.000 0.500 0.250
0.000 0.500 0.750
0.500 0.000 0.250
0.500 0.000 0.750
0.000 0.000 0.382
0.000 0.000 0.618
0.500 0.500 0.118
0.500 0.500 0.882
```


Run ii
## CsSr2In2 (PBE-GGA)

Data for a geometry-optimized CsSr2In2 structure.

Calculated values
The value obtained for the total magnetization is 0.0 μB per formula unit. The calculation puts the density of states at the Fermi level at 5.031 states/eV per cell.

```
CsSr2In2
1.0
9.996 0.000 0.000
0.000 9.996 0.000
0.000 0.000 4.151
Cs Sr In
2 4 4
Direct
0.000 0.000 0.000
0.500 0.500 0.000
0.174 0.326 0.500
0.326 0.826 0.500
0.674 0.174 0.500
0.826 0.674 0.500
0.114 0.614 0.000
0.386 0.114 0.000
0.614 0.886 0.000
0.886 0.386 0.000
```


Relative stability in eV/atom, measured from the most stable structure: run i 0.020; run ii 0.000


Run i
## CsTa2In2 (PBE-GGA)

Data for a geometry-optimized CsTa2In2 structure.

Calculated values
The value obtained for the total magnetization is 0.0 μB per formula unit. The calculation puts the density of states at the Fermi level at 8.246 states/eV per cell.

```
CsTa2In2
1.0
3.753 0.000 0.000
0.000 3.753 0.000
0.000 0.000 22.064
Cs Ta In
2 4 4
Direct
0.000 0.000 0.000
0.500 0.500 0.500
0.000 0.500 0.250
0.000 0.500 0.750
0.500 0.000 0.250
0.500 0.000 0.750
0.000 0.000 0.364
0.000 0.000 0.636
0.500 0.500 0.136
0.500 0.500 0.864
```


Run ii
## CsTa2In2 (PBE-GGA)

Data for a geometry-optimized CsTa2In2 structure.

Calculated values
The value obtained for the total magnetization is 0.0 μB per formula unit. The calculation puts the density of states at the Fermi level at 13.511 states/eV per cell.

```
CsTa2In2
1.0
9.307 0.000 0.000
0.000 9.307 0.000
0.000 0.000 3.030
Cs Ta In
2 4 4
Direct
0.000 0.000 0.000
0.500 0.500 0.000
0.105 0.395 0.500
0.395 0.895 0.500
0.605 0.105 0.500
0.895 0.605 0.500
0.175 0.675 0.000
0.325 0.175 0.000
0.675 0.825 0.000
0.825 0.325 0.000
```


Relative stability in eV/atom, measured from the most stable structure: run i 0.000; run ii 0.150


Run i
## CsTa3In (PBE-GGA)

Data for a geometry-optimized CsTa3In structure.

Calculated values
The value obtained for the total magnetization is 0.0 μB per formula unit. The calculation puts the density of states at the Fermi level at 4.911 states/eV per cell.

```
CsTa3In
1.0
5.044 0.000 0.000
0.000 5.044 0.000
0.000 0.000 5.044
Cs Ta In
1 3 1
Direct
0.000 0.000 0.000
0.000 0.000 0.500
0.000 0.500 0.000
0.500 0.000 0.000
0.500 0.500 0.500
```


Run ii
## CsTa3In (PBE-GGA)

Data for a geometry-optimized CsTa3In structure.

Calculated values
The value obtained for the total magnetization is 0.0 μB per formula unit. The calculation puts the density of states at the Fermi level at 14.246 states/eV per cell.

```
CsTa3In
1.0
5.271 0.000 0.000
0.000 5.271 0.000
0.000 0.000 5.271
Cs Ta In
1 3 1
Direct
0.000 0.000 0.000
0.000 0.500 0.500
0.500 0.000 0.500
0.500 0.500 0.000
0.500 0.500 0.500
```


Relative stability in eV/atom, measured from the most stable structure: run i 0.503; run ii 0.000


Run i
## CsInTe3 (PBE-GGA)

Data for a geometry-optimized CsInTe3 structure.

Calculated values
The value obtained for the total magnetization is 0.0 μB per formula unit. The calculation puts the density of states at the Fermi level at 7.335 states/eV per cell.

```
CsInTe3
1.0
4.497 2.597 5.489
-4.497 2.597 5.489
0.000 -5.193 5.489
Cs In Te
2 2 6
Direct
0.250 0.250 0.250
0.750 0.750 0.750
0.000 0.000 0.000
0.500 0.500 0.500
0.178 0.750 0.322
0.250 0.678 0.822
0.322 0.178 0.750
0.678 0.822 0.250
0.750 0.322 0.178
0.822 0.250 0.678
```


Run ii
## CsInTe3 (PBE-GGA)

Data for a geometry-optimized CsInTe3 structure.

Calculated values
The value obtained for the total magnetization is 0.0 μB per formula unit. The calculation puts the density of states at the Fermi level at 7.951 states/eV per cell.

```
CsInTe3
1.0
6.445 0.000 0.000
0.000 6.445 0.000
0.000 0.000 6.445
Cs In Te
1 1 3
Direct
0.000 0.000 0.000
0.500 0.500 0.500
0.000 0.000 0.500
0.000 0.500 0.000
0.500 0.000 0.000
```


Relative stability in eV/atom, measured from the most stable structure: run i 0.000; run ii 1.002


Run i
## CsInTe (PBE-GGA)

Data for a geometry-optimized CsInTe structure.

Calculated values
The value obtained for the total magnetization is 0.0 μB per formula unit.

```
CsInTe
1.0
8.511 0.000 0.000
0.000 8.511 0.000
0.000 0.000 8.511
Cs In Te
4 4 4
Direct
0.000 0.000 0.000
0.000 0.500 0.500
0.500 0.000 0.500
0.500 0.500 0.000
0.000 0.000 0.500
0.000 0.500 0.000
0.500 0.000 0.000
0.500 0.500 0.500
0.250 0.250 0.750
0.250 0.750 0.250
0.750 0.250 0.250
0.750 0.750 0.750
```


Run ii
## CsInTe (PBE-GGA)

Data for a geometry-optimized CsInTe structure.

Calculated values
The value obtained for the total magnetization is 0.0 μB per formula unit.

```
CsInTe
1.0
4.722 0.000 0.000
2.352 7.368 0.000
2.355 2.963 7.692
Cs In Te
2 2 2
Direct
0.060 0.204 0.179
0.940 0.796 0.821
0.330 0.259 0.579
0.670 0.741 0.421
0.324 0.619 0.233
0.676 0.381 0.767
```


Run iii
## CsInTe (PBE-GGA)

Data for a geometry-optimized CsInTe structure.

Calculated values
The value obtained for the total magnetization is 0.0 μB per formula unit.

```
CsInTe
1.0
4.258 0.000 0.000
0.000 4.258 0.000
0.000 0.000 13.378
Cs In Te
2 2 2
Direct
0.000 0.000 0.000
0.500 0.500 0.500
0.000 0.000 0.292
0.500 0.500 0.792
0.000 0.000 0.694
0.500 0.500 0.194
```


Relative stability in eV/atom, measured from the most stable structure: run i 0.187; run ii 0.000; run iii 0.096


Run i
## CsIn6Te8 (PBE-GGA)

Data for a geometry-optimized CsIn6Te8 structure.

Calculated values
The value obtained for the total magnetization is 0.0 μB per formula unit. The calculation puts the density of states at the Fermi level at 7.918 states/eV per cell.

```
CsIn6Te8
1.0
6.303 3.639 4.203
-6.303 3.639 4.203
0.000 -7.278 4.203
Cs In Te
1 6 8
Direct
0.000 0.000 0.000
0.179 0.306 0.624
0.306 0.624 0.179
0.376 0.821 0.694
0.624 0.179 0.306
0.694 0.376 0.821
0.821 0.694 0.376
0.151 0.606 0.839
0.161 0.849 0.394
0.328 0.328 0.328
0.394 0.161 0.849
0.606 0.839 0.151
0.672 0.672 0.672
0.839 0.151 0.606
0.849 0.394 0.161
```


Run ii
## CsIn6Te8 (PBE-GGA)

Data for a geometry-optimized CsIn6Te8 structure.

Calculated values
The value obtained for the total magnetization is 0.0 μB per formula unit. The calculation puts the density of states at the Fermi level at 9.044 states/eV per cell.

```
CsIn6Te8
1.0
0.000 7.273 7.273
7.273 0.000 7.273
7.273 7.273 0.000
Cs In Te
1 6 8
Direct
0.000 0.000 0.000
0.000 0.000 0.500
0.000 0.500 0.000
0.000 0.500 0.500
0.500 0.000 0.000
0.500 0.000 0.500
0.500 0.500 0.000
0.144 0.144 0.144
0.144 0.144 0.567
0.144 0.567 0.144
0.433 0.856 0.856
0.567 0.144 0.144
0.856 0.433 0.856
0.856 0.856 0.433
0.856 0.856 0.856
```


Relative stability in eV/atom, measured from the most stable structure: run i 0.000; run ii 0.316


Run i
## CsIn2Te (PBE-GGA)

Data for a geometry-optimized CsIn2Te structure.

Calculated values
The value obtained for the total magnetization is 0.0 μB per formula unit. The calculation puts the density of states at the Fermi level at 8.502 states/eV per cell.

```
CsIn2Te
1.0
9.545 0.000 0.000
0.000 9.545 0.000
0.000 0.000 7.322
Cs In Te
4 8 4
Direct
0.000 0.000 0.000
0.000 0.500 0.250
0.500 0.000 0.750
0.500 0.500 0.500
0.198 0.750 0.625
0.250 0.198 0.375
0.250 0.302 0.875
0.302 0.750 0.125
0.698 0.250 0.125
0.750 0.698 0.875
0.750 0.802 0.375
0.802 0.250 0.625
0.000 0.000 0.500
0.000 0.500 0.750
0.500 0.000 0.250
0.500 0.500 0.000
```


Run ii
## CsIn2Te (PBE-GGA)

Data for a geometry-optimized CsIn2Te structure.

Calculated values
The value obtained for the total magnetization is 0.0 μB per formula unit. The calculation puts the density of states at the Fermi level at 10.630 states/eV per cell.

```
CsIn2Te
1.0
8.375 0.000 0.000
0.000 8.375 0.000
0.000 0.000 8.375
Cs In Te
4 8 4
Direct
0.000 0.000 0.000
0.000 0.500 0.500
0.500 0.000 0.500
0.500 0.500 0.000
0.250 0.250 0.250
0.250 0.250 0.750
0.250 0.750 0.250
0.250 0.750 0.750
0.750 0.250 0.250
0.750 0.250 0.750
0.750 0.750 0.250
0.750 0.750 0.750
0.000 0.000 0.500
0.000 0.500 0.000
0.500 0.000 0.000
0.500 0.500 0.500
```


Relative stability in eV/atom, measured from the most stable structure: run i 0.000; run ii 0.141


Run i
## CsIn3Te (PBE-GGA)

Data for a geometry-optimized CsIn3Te structure.

Calculated values
The value obtained for the total magnetization is 0.0 μB per formula unit. The calculation puts the density of states at the Fermi level at 3.933 states/eV per cell.

```
CsIn3Te
1.0
6.466 0.000 0.000
0.000 6.466 0.000
0.000 0.000 6.466
Cs In Te
1 3 1
Direct
0.000 0.000 0.000
0.000 0.000 0.500
0.000 0.500 0.000
0.500 0.000 0.000
0.500 0.500 0.500
```


Run ii
## CsIn3Te (PBE-GGA)

Data for a geometry-optimized CsIn3Te structure.

Calculated values
The value obtained for the total magnetization is 0.0 μB per formula unit. The calculation puts the density of states at the Fermi level at 5.137 states/eV per cell.

```
CsIn3Te
1.0
6.282 0.000 0.000
0.000 6.282 0.000
0.000 0.000 6.282
Cs In Te
1 3 1
Direct
0.000 0.000 0.000
0.000 0.500 0.500
0.500 0.000 0.500
0.500 0.500 0.000
0.500 0.500 0.500
```


Relative stability in eV/atom, measured from the most stable structure: run i 0.734; run ii 0.000


Run i
## CsTiIn (PBE-GGA)

Data for a geometry-optimized CsTiIn structure.

Calculated values
The value obtained for the total magnetization is 0.3 μB per formula unit. The calculation puts the density of states at the Fermi level at 4.530 states/eV per cell.

```
CsTiIn
1.0
3.824 0.000 0.000
-0.001 4.286 0.000
-0.301 -2.017 13.442
Cs Ti In
2 2 2
Direct
0.000 0.000 0.000
0.449 0.694 0.348
0.469 0.814 0.602
0.981 0.882 0.746
0.484 0.395 0.774
0.967 0.301 0.574
```


Run ii
## CsTiIn (PBE-GGA)

Data for a geometry-optimized CsTiIn structure.

Calculated values
The value obtained for the total magnetization is 1.1 μB per formula unit. The calculation puts the density of states at the Fermi level at 12.969 states/eV per cell.

```
CsTiIn
1.0
13.022 0.000 0.000
0.000 3.422 0.000
0.000 0.000 10.366
Cs Ti In
4 4 4
Direct
0.167 0.250 0.083
0.333 0.750 0.583
0.667 0.250 0.417
0.833 0.750 0.917
0.059 0.250 0.442
0.441 0.750 0.942
0.559 0.250 0.058
0.941 0.750 0.558
0.079 0.250 0.719
0.421 0.750 0.219
0.579 0.250 0.781
0.921 0.750 0.281
```


Relative stability in eV/atom, measured from the most stable structure: run i 0.000; run ii 0.309


Run i
## CsTl2In (PBE-GGA)

Data for a geometry-optimized CsTl2In structure.

Calculated values
The value obtained for the total magnetization is 0.0 μB per formula unit. The calculation puts the density of states at the Fermi level at 5.354 states/eV per cell.

```
CsTl2In
1.0
5.101 0.000 0.000
-2.551 4.418 0.000
0.000 0.000 22.330
Cs Tl In
3 6 3
Direct
0.000 0.000 0.000
0.333 0.667 0.667
0.667 0.333 0.333
0.000 0.000 0.215
0.000 0.000 0.785
0.333 0.667 0.451
0.333 0.667 0.882
0.667 0.333 0.118
0.667 0.333 0.549
0.000 0.000 0.500
0.333 0.667 0.167
0.667 0.333 0.833
```


Run ii
## CsTl2In (PBE-GGA)

Data for a geometry-optimized CsTl2In structure.

Calculated values
The value obtained for the total magnetization is 0.0 μB per formula unit. The calculation puts the density of states at the Fermi level at 2.748 states/eV per cell.

```
CsTl2In
1.0
7.038 0.000 0.000
0.000 5.072 0.000
-3.375 0.000 8.656
Cs Tl In
2 4 2
Direct
0.206 0.250 0.414
0.794 0.750 0.586
0.144 0.250 0.893
0.392 0.750 0.783
0.608 0.250 0.217
0.856 0.750 0.107
0.321 0.750 0.111
0.679 0.250 0.889
```


Relative stability in eV/atom, measured from the most stable structure: run i 0.010; run ii 0.000


Run i
## CsTlIn (PBE-GGA)

Data for a geometry-optimized CsTlIn structure.

Calculated values
The value obtained for the total magnetization is 0.0 μB per formula unit. The calculation puts the density of states at the Fermi level at 4.013 states/eV per cell.

```
CsTlIn
1.0
6.637 0.000 0.000
0.000 5.176 0.000
0.000 0.000 14.883
Cs Tl In
4 4 4
Direct
0.250 0.250 0.043
0.250 0.750 0.543
0.750 0.250 0.457
0.750 0.750 0.957
0.001 0.250 0.750
0.499 0.750 0.250
0.501 0.250 0.750
0.999 0.750 0.250
0.249 0.250 0.319
0.251 0.750 0.819
0.749 0.250 0.181
0.751 0.750 0.681
```


Run ii
## CsTlIn (PBE-GGA)

Data for a geometry-optimized CsTlIn structure.

Calculated values
The value obtained for the total magnetization is 0.0 μB per formula unit. The calculation puts the density of states at the Fermi level at 5.385 states/eV per cell.

```
CsTlIn
1.0
5.087 0.000 0.000
0.000 5.420 0.000
0.000 0.000 18.376
Cs Tl In
4 4 4
Direct
0.249 0.029 0.171
0.251 0.971 0.671
0.749 0.471 0.829
0.751 0.529 0.329
0.248 0.928 0.908
0.252 0.072 0.408
0.748 0.572 0.092
0.752 0.428 0.592
0.248 0.440 0.998
0.252 0.560 0.498
0.748 0.060 0.002
0.752 0.940 0.502
```


Relative stability in eV/atom, measured from the most stable structure: run i 0.052; run ii 0.000


Run i
## CsTlIn (PBE-GGA)

Data for a geometry-optimized CsTlIn structure.

Calculated values
The value obtained for the total magnetization is 0.0 μB per formula unit. The calculation puts the density of states at the Fermi level at 3.548 states/eV per cell.

```
CsTlIn
1.0
5.162 0.000 0.000
-2.581 4.470 0.000
0.000 0.000 6.138
Cs Tl In
1 1 1
Direct
0.000 0.000 0.000
0.667 0.333 0.500
0.333 0.667 0.500
```


Run ii
## CsTlIn (PBE-GGA)

Data for a geometry-optimized CsTlIn structure.

Calculated values
The value obtained for the total magnetization is 0.0 μB per formula unit. The calculation puts the density of states at the Fermi level at 2.827 states/eV per cell.

```
CsTlIn
1.0
5.433 0.000 0.000
0.000 5.084 0.000
-0.403 0.000 9.237
Cs Tl In
2 2 2
Direct
0.245 0.250 0.340
0.755 0.750 0.660
0.308 0.250 0.815
0.692 0.750 0.185
0.191 0.750 0.003
0.809 0.250 0.997
```


Relative stability in eV/atom, measured from the most stable structure: run i 0.077; run ii 0.000